## ZnTcSb2Pb (PBE-GGA)

Data for an optimized crystal structure of ZnTcSb2Pb.

Calculated values
SG ... P4/mmm
Size of the total moment ... 0.000 μB per atom
Electronic total energy ... -0.3124 Ry/atom

Lattice parameters (Å, degrees): 5.147 5.147 5.395 90.00 90.00 90.00
Fractional positions:
1 Zn 0.000 0.000 0.000
2 Tc 0.500 0.500 0.500
3 Sb 0.000 0.500 0.500
4 Sb 0.500 0.000 0.500
5 Pb 0.500 0.500 0.000